4
Lattice="0.000 3.638 3.638 3.638 0.000 3.638 3.638 3.638 0.000" Properties=species:S:1:pos:R:3 comment="CsVCu2 | Alexandria via LeMat-Bulk | PBE | relaxed" sg="Fm-3m, No. 225" delta_e_f_ev_per_atom=1.29 density_g_cm3=5.363 energy_ha_per_atom=-0.1193 pbc="T T T"
Cs 0.000 0.000 0.000
V 3.638 3.638 3.638
Cu 1.819 1.819 1.819
Cu 5.457 5.457 5.457

=====

8
Lattice="-2.053 2.053 10.462 2.053 -2.053 10.462 2.053 2.053 -10.462" Properties=species:S:1:pos:R:3 comment="CsCuW2 | Alexandria via LeMat-Bulk | PBE | relaxed" sg="I-42d, No. 122" relative_energy_kcal_per_mol_atoms=0.00 delta_e_f_ev_per_atom=1.88 density_g_cm3=10.619 energy_ha_per_atom=-0.2144 pbc="T T T"
Cs 0.000 0.000 0.000
Cs 0.000 2.053 5.231
Cu 2.053 0.000 5.231
Cu 0.000 0.000 10.462
W 1.027 -0.714 7.847
W 1.339 1.027 2.616
W 1.027 2.768 -2.616
W 0.714 1.027 13.078

=====

4
Lattice="0.000 3.278 3.278 3.278 0.000 3.278 3.278 3.278 0.000" Properties=species:S:1:pos:R:3 comment="CsCuW2 | Alexandria via LeMat-Bulk | PBE | relaxed" sg="Fm-3m, No. 225" relative_energy_kcal_per_mol_atoms=9.81 delta_e_f_ev_per_atom=2.31 density_g_cm3=13.296 energy_ha_per_atom=-0.1987 pbc="T T T"
Cs 0.000 0.000 0.000
Cu 3.278 3.278 3.278
W 1.639 1.639 1.639
W 4.917 4.917 4.917

=====

5
Lattice="6.717 0.000 0.000 0.000 6.717 0.000 0.000 0.000 6.717" Properties=species:S:1:pos:R:3 comment="Cs3CuW | Alexandria via LeMat-Bulk | PBE | relaxed" sg="Pm-3m, No. 221" relative_energy_kcal_per_mol_atoms=0.00 delta_e_f_ev_per_atom=1.48 density_g_cm3=3.540 energy_ha_per_atom=-0.0898 pbc="T T T"
Cs 0.000 0.000 3.358
Cs 0.000 3.358 0.000
Cs 3.358 0.000 0.000
Cu 0.000 0.000 0.000
W 3.358 3.358 3.358

=====

5
Lattice="4.893 0.000 0.000 0.000 4.893 0.000 0.000 0.000 4.893" Properties=species:S:1:pos:R:3 comment="CsCuW3 | Alexandria via LeMat-Bulk | PBE | relaxed" sg="Pm-3m, No. 221" relative_energy_kcal_per_mol_atoms=32.50 delta_e_f_ev_per_atom=4.09 density_g_cm3=10.602 energy_ha_per_atom=-0.1716 pbc="T T T"
Cs 0.000 0.000 0.000
Cu 2.447 2.447 2.447
W 0.000 0.000 2.447
W 0.000 2.447 0.000
W 2.447 0.000 0.000

=====

4
Lattice="0.000 4.465 4.465 4.465 0.000 4.465 4.465 4.465 0.000" Properties=species:S:1:pos:R:3 comment="Cs2CuW | Alexandria via LeMat-Bulk | PBE | relaxed" sg="Fm-3m, No. 225" delta_e_f_ev_per_atom=1.77 density_g_cm3=4.785 energy_ha_per_atom=-0.1074 pbc="T T T"
Cs 2.233 2.233 2.233
Cs 6.698 6.698 6.698
Cu 0.000 0.000 0.000
W 4.465 4.465 4.465

=====

5
Lattice="4.794 0.000 0.000 0.000 4.794 0.000 0.000 0.000 4.794" Properties=species:S:1:pos:R:3 comment="CsCuW3 | Alexandria via LeMat-Bulk | PBE | relaxed" sg="Pm-3m, No. 221" relative_energy_kcal_per_mol_atoms=0.00 delta_e_f_ev_per_atom=2.68 density_g_cm3=11.273 energy_ha_per_atom=-0.2234 pbc="T T T"
Cs 0.000 0.000 0.000
Cu 2.397 2.397 2.397
W 0.000 2.397 2.397
W 2.397 0.000 2.397
W 2.397 2.397 0.000

=====

5
Lattice="6.305 0.000 0.000 0.000 6.305 0.000 0.000 0.000 5.334" Properties=species:S:1:pos:R:3 comment="Cs2YCuW | Alexandria via LeMat-Bulk | PBE | relaxed" sg="P4/mmm, No. 123" delta_e_f_ev_per_atom=1.60 density_g_cm3=4.715 energy_ha_per_atom=-0.1265 pbc="T T T"
Cs 0.000 3.153 0.000
Cs 3.153 0.000 0.000
Y 0.000 0.000 2.667
Cu 3.153 3.153 2.667
W 0.000 0.000 0.000